Density functional theory data (PBE) for a geometry-optimized HfAs2W structure.

Unit cell a=3.911 b=3.911 c=11.271 alpha=90.00 beta=90.00 gamma=120.00
Fractional coordinates of all 8 atoms:
Hf 0.000 0.000 0.148
Hf 0.000 0.000 0.852
As 0.000 0.000 0.500
As 0.333 0.667 0.271
As 0.333 0.667 0.729
As 0.667 0.333 0.000
W 0.667 0.333 0.376
W 0.667 0.333 0.624

Results
For the calculated volume, the calculation gives 149 Å³ per cell. The value obtained for the uncorrected energy is -66.4 eV per cell.

Density functional theory data (PBE) for a geometry-optimized Hf2AsW structure.

Unit cell a=4.678 b=4.678 c=4.678 alpha=60.00 beta=60.00 gamma=60.00
Fractional coordinates of all 4 atoms:
Hf 0.000 0.000 0.000
Hf 0.250 0.250 0.250
As 0.500 0.500 0.500
W 0.750 0.750 0.750

Results
For the calculated volume, the calculation gives 72 Å³ per cell. The value obtained for the uncorrected energy is -36.8 eV per cell.

Density functional theory data (PBE) for a geometry-optimized YHf6As2 structure.

Unit cell a=7.491 b=7.491 c=3.887 alpha=90.00 beta=90.00 gamma=120.00
Fractional coordinates of all 9 atoms:
Y 0.000 0.000 0.000
Hf 0.000 0.267 0.500
Hf 0.000 0.581 0.000
Hf 0.267 0.000 0.500
Hf 0.419 0.419 0.000
Hf 0.581 0.000 0.000
Hf 0.733 0.733 0.500
As 0.333 0.667 0.500
As 0.667 0.333 0.500

Results
For the calculated volume, the calculation gives 189 Å³ per cell. The value obtained for the uncorrected energy is -77.3 eV per cell.

Density functional theory data (PBE) for a geometry-optimized YHfAs2 structure.

Unit cell a=4.900 b=4.900 c=4.900 alpha=60.00 beta=60.00 gamma=60.00
Fractional coordinates of all 4 atoms:
Y 0.000 0.000 0.000
Hf 0.250 0.250 0.250
As 0.500 0.500 0.500
As 0.750 0.750 0.750

Results
For the calculated volume, the calculation gives 83 Å³ per cell. The value obtained for the uncorrected energy is -25.9 eV per cell.

Density functional theory data (PBE) for a geometry-optimized YHf2As2 structure.

Unit cell a=6.938 b=6.938 c=6.938 alpha=145.38 beta=145.38 gamma=49.76
Fractional coordinates of all 5 atoms:
Y 0.000 0.000 0.000
Hf 0.250 0.750 0.500
Hf 0.750 0.250 0.500
As 0.393 0.393 0.000
As 0.607 0.607 0.000

Results
For the calculated volume, the calculation gives 107 Å³ per cell. The value obtained for the uncorrected energy is -39.5 eV per cell.

Density functional theory data (PBE) for a geometry-optimized Y2HfAs structure.

Unit cell a=5.098 b=5.098 c=5.098 alpha=60.00 beta=60.00 gamma=60.00
Fractional coordinates of all 4 atoms:
Y 0.000 0.000 0.000
Y 0.250 0.250 0.250
Hf 0.750 0.750 0.750
As 0.500 0.500 0.500

Results
For the calculated volume, the calculation gives 94 Å³ per cell. The value obtained for the uncorrected energy is -27.4 eV per cell.